DFT (PBE-GGA) results for a relaxed structure of CaTcO2F.

Cell and atoms, written as CIF:
```
data_CaTcO2F
_space_group_name_H-M_alt 'P 4/m m m'
_space_group_IT_number 123
_space_group_name_Hall '-P 4 2'
_cell_length_a 3.972
_cell_length_b 3.972
_cell_length_c 4.220
_cell_angle_alpha 90.00
_cell_angle_beta 90.00
_cell_angle_gamma 90.00
loop_
_atom_site_label
_atom_site_fract_x
_atom_site_fract_y
_atom_site_fract_z
Ca1 0.000 0.000 0.000
Tc1 0.500 0.500 0.500
O1 0.000 0.500 0.500
F1 0.500 0.500 0.000
```

Values from the calculation:
ΔE_f (raw) ... -1829 meV per atom